Record 1
PmNd4Th3S8 | PBE | optimized geometry

Summary:
Space-group type: R-3m
Uncorrected formation energy: -1952.9 meV/atom
Energy: -6.90 eV per atom
Density of states at the Fermi level: 6.6 states/eV/cell

Unit cell a=8.0785 b=8.1307 c=8.0781 alpha=119.78 beta=120.00 gamma=90.00
Element x y z (fractional)
Pm 0.0000 0.5000 0.0000
Nd 0.5000 0.0000 0.0000
Nd 0.5000 0.0000 0.5000
Nd 0.0000 0.0000 0.0000
Nd 0.0000 0.0000 0.5000
Th 0.5000 0.5000 0.0000
Th 0.5000 0.5000 0.5000
Th 0.0000 0.5000 0.5000
S 0.2490 0.7481 0.9991
S 0.2490 0.7481 0.4980
S 0.2500 0.2499 0.4999
S 0.7501 0.7481 0.9991
S 0.2499 0.2519 0.0009
S 0.7500 0.7501 0.5001
S 0.7510 0.2519 0.5020
S 0.7510 0.2519 0.0009



Record 2
PmNd2ThS4 | PBE | optimized geometry

Summary:
Space-group type: P2/m
Uncorrected formation energy: -1976.2 meV/atom
Energy: -6.75 eV per atom
Density of states at the Fermi level: 3.4 states/eV/cell

Unit cell a=4.0371 b=7.0295 c=7.0262 alpha=109.34 beta=90.00 gamma=90.00
Element x y z (fractional)
Pm 0.0000 0.0000 0.0000
Nd 0.5000 0.0000 0.5000
Nd 0.0000 0.5000 0.5000
Th 0.5000 0.5000 0.0000
S 0.5000 0.2488 0.2469
S 0.5000 0.7512 0.7531
S 0.0000 0.2501 0.7522
S 0.0000 0.7499 0.2478



Record 3
PmNdTh2S4 | PBE | optimized geometry

Summary:
Space-group type: P2/m
Uncorrected formation energy: -1923.7 meV/atom
Energy: -7.03 eV per atom
Density of states at the Fermi level: 4.7 states/eV/cell

Unit cell a=4.0570 b=6.9485 c=7.0418 alpha=109.44 beta=90.00 gamma=90.00
Element x y z (fractional)
Pm 0.5000 0.5000 0.0000
Nd 0.0000 0.0000 0.0000
Th 0.5000 0.0000 0.5000
Th 0.0000 0.5000 0.5000
S 0.5000 0.2512 0.2492
S 0.5000 0.7488 0.7508
S 0.0000 0.2518 0.7518
S 0.0000 0.7482 0.2482



Record 4
Pm2NdTh3S6 | PBE | optimized geometry

Summary:
Space-group type: C2/m
Uncorrected formation energy: -1921.2 meV/atom
Energy: -7.03 eV per atom
Density of states at the Fermi level: 7.5 states/eV/cell

Unit cell a=6.9482 b=6.9482 c=7.0555 alpha=99.40 beta=99.40 gamma=119.55
Element x y z (fractional)
Pm 0.3333 0.6667 0.0000
Pm 0.6667 0.3333 0.0000
Nd 0.0000 0.0000 0.0000
Th 0.1657 0.8343 0.5000
Th 0.8343 0.1657 0.5000
Th 0.5000 0.5000 0.5000
S 0.9173 0.5821 0.7517
S 0.7471 0.7471 0.2471
S 0.0827 0.4179 0.2483
S 0.5821 0.9173 0.7517
S 0.2529 0.2529 0.7529
S 0.4179 0.0827 0.2483



Record 5
PmNdTl2S4 | PBE | optimized geometry

Summary:
Space-group type: P2/m
Uncorrected formation energy: -1459.4 meV/atom
Energy: -5.30 eV per atom
Density of states at the Fermi level: 0.0 states/eV/cell

Unit cell a=4.1660 b=7.2173 c=7.8750 alpha=107.76 beta=90.00 gamma=90.00
Element x y z (fractional)
Pm 0.0000 0.0000 0.0000
Nd 0.5000 0.5000 0.0000
Tl 0.5000 0.0000 0.5000
Tl 0.0000 0.5000 0.5000
S 0.5000 0.2326 0.2033
S 0.5000 0.7674 0.7967
S 0.0000 0.2638 0.7959
S 0.0000 0.7362 0.2041



Record 6
PmNd2Tl3S6 | PBE | optimized geometry

Summary:
Space-group type: C2/m
Uncorrected formation energy: -1457.6 meV/atom
Energy: -5.30 eV per atom
Density of states at the Fermi level: 0.0 states/eV/cell

Unit cell a=7.2262 b=7.2262 c=7.8758 alpha=98.80 beta=98.80 gamma=120.00
Element x y z (fractional)
Pm 0.0000 0.0000 0.0000
Nd 0.3333 0.6667 0.0000
Nd 0.6667 0.3333 0.0000
Tl 0.1669 0.8331 0.5000
Tl 0.8331 0.1669 0.5000
Tl 0.5000 0.5000 0.5000
S 0.9320 0.6006 0.7962
S 0.7366 0.7366 0.2042
S 0.0680 0.3994 0.2038
S 0.6006 0.9320 0.7962
S 0.2634 0.2634 0.7958
S 0.3994 0.0680 0.2038



What is the density of states at the Fermi level in the fifth record?
0.0 states/eV/cell